Below is a relaxed structure of Cs7Na2Au, with properties calculated at the PBE-GGA level.

## Properties
The calculation puts the spin magnetization at 0.000 μB per atom. The calculation puts the energy at -1.236 eV per atom. The mass density is 2.49 g/cm3. The formation energy comes out at -47 meV/atom.

a b c (Å): 12.090 12.090 16.152
angles (deg): 123.78 123.78 59.63
Sites, in units of the cell vectors:
Cs (0.047, 0.772, 0.969)
Cs (0.159, 0.277, 0.877)
Cs (0.194, 0.806, 0.750)
Cs (0.228, 0.953, 0.531)
Cs (0.277, 0.159, 0.377)
Cs (0.326, 0.501, 0.300)
Cs (0.499, 0.674, 0.200)
Cs (0.501, 0.326, 0.800)
Cs (0.674, 0.499, 0.700)
Cs (0.723, 0.841, 0.623)
Cs (0.772, 0.047, 0.469)
Cs (0.806, 0.194, 0.250)
Cs (0.841, 0.723, 0.123)
Cs (0.953, 0.228, 0.031)
Na (0.025, 0.428, 0.604)
Na (0.428, 0.025, 0.104)
Na (0.572, 0.975, 0.896)
Na (0.975, 0.572, 0.396)
Au (0.147, 0.853, 0.250)
Au (0.853, 0.147, 0.750)

Below is a relaxed structure of Cs3Na3Au2, with properties calculated at the PBE-GGA level.

## Properties
The calculation puts the spin magnetization at 0.000 μB per atom. The calculation puts the energy at -1.798 eV per atom. The mass density is 3.99 g/cm3. The formation energy comes out at -164 meV/atom.

a b c (Å): 7.404 7.404 19.682
angles (deg): 90.00 90.00 138.31
Sites, in units of the cell vectors:
Cs (0.058, 0.942, 0.607)
Cs (0.058, 0.942, 0.893)
Cs (0.359, 0.641, 0.750)
Cs (0.641, 0.359, 0.250)
Cs (0.942, 0.058, 0.107)
Cs (0.942, 0.058, 0.393)
Na (0.321, 0.679, 0.535)
Na (0.321, 0.679, 0.965)
Na (0.332, 0.668, 0.250)
Na (0.668, 0.332, 0.750)
Na (0.679, 0.321, 0.035)
Na (0.679, 0.321, 0.465)
Au (0.231, 0.769, 0.111)
Au (0.231, 0.769, 0.389)
Au (0.769, 0.231, 0.611)
Au (0.769, 0.231, 0.889)

Below is a relaxed structure of Cs8NaAu4, with properties calculated at the PBE-GGA level.

## Properties
The calculation puts the spin magnetization at 0.000 μB per atom. The calculation puts the energy at -1.817 eV per atom. The mass density is 3.48 g/cm3. The formation energy comes out at -182 meV/atom. For the excess energy over the best structure of this formula in the dataset, the calculation gives 12 meV/atom.

a b c (Å): 10.811 10.811 10.811
angles (deg): 60.00 60.00 60.00
Sites, in units of the cell vectors:
Cs (0.393, 0.393, 0.393)
Cs (0.393, 0.393, 0.821)
Cs (0.393, 0.821, 0.393)
Cs (0.396, 0.868, 0.868)
Cs (0.821, 0.393, 0.393)
Cs (0.868, 0.396, 0.868)
Cs (0.868, 0.868, 0.396)
Cs (0.868, 0.868, 0.868)
Na (0.250, 0.250, 0.250)
Au (0.117, 0.628, 0.628)
Au (0.628, 0.117, 0.628)
Au (0.628, 0.628, 0.117)
Au (0.628, 0.628, 0.628)

Below is a relaxed structure of Cs2NaAu2, with properties calculated at the PBE-GGA level.

## Properties
The calculation puts the spin magnetization at 0.000 μB per atom. The calculation puts the energy at -2.043 eV per atom. The mass density is 5.33 g/cm3. The formation energy comes out at -126 meV/atom. For the excess energy over the best structure of this formula in the dataset, the calculation gives 139 meV/atom.

a b c (Å): 10.239 10.239 4.055
angles (deg): 90.00 90.00 90.00
Sites, in units of the cell vectors:
Cs (0.136, 0.364, 0.000)
Cs (0.364, 0.864, 0.000)
Cs (0.636, 0.136, 0.000)
Cs (0.864, 0.636, 0.000)
Na (0.000, 0.000, 0.000)
Na (0.500, 0.500, 0.000)
Au (0.163, 0.663, 0.500)
Au (0.337, 0.163, 0.500)
Au (0.663, 0.837, 0.500)
Au (0.837, 0.337, 0.500)

Below is a relaxed structure of Cs12Na5Au2, with properties calculated at the PBE-GGA level.

## Properties
The calculation puts the spin magnetization at 0.000 μB per atom. The calculation puts the energy at -1.266 eV per atom. The mass density is 2.36 g/cm3. The formation energy comes out at -35 meV/atom.

a b c (Å): 12.247 12.247 10.460
angles (deg): 103.68 103.68 83.88
Sites, in units of the cell vectors:
Cs (0.020, 0.681, 0.165)
Cs (0.102, 0.102, 0.184)
Cs (0.165, 0.616, 0.681)
Cs (0.319, 0.980, 0.835)
Cs (0.383, 0.383, 0.297)
Cs (0.384, 0.835, 0.319)
Cs (0.616, 0.165, 0.681)
Cs (0.617, 0.617, 0.703)
Cs (0.681, 0.020, 0.165)
Cs (0.835, 0.384, 0.319)
Cs (0.898, 0.898, 0.816)
Cs (0.980, 0.319, 0.835)
Na (0.000, 0.000, 0.500)
Na (0.233, 0.233, 0.591)
Na (0.397, 0.397, 0.898)
Na (0.603, 0.603, 0.102)
Na (0.767, 0.767, 0.409)
Au (0.173, 0.827, 0.000)
Au (0.827, 0.173, 0.000)

Below is a relaxed structure of Cs5NaAu4, with properties calculated at the PBE-GGA level.

## Properties
The calculation puts the spin magnetization at 0.000 μB per atom. The calculation puts the energy at -2.129 eV per atom. The mass density is 5.38 g/cm3. The formation energy comes out at -259 meV/atom.

a b c (Å): 4.405 4.405 23.465
angles (deg): 90.00 90.00 90.00
Sites, in units of the cell vectors:
Cs (0.000, 0.000, 0.000)
Cs (0.000, 0.000, 0.183)
Cs (0.000, 0.000, 0.364)
Cs (0.000, 0.000, 0.636)
Cs (0.000, 0.000, 0.817)
Na (0.500, 0.500, 0.500)
Au (0.500, 0.500, 0.094)
Au (0.500, 0.500, 0.282)
Au (0.500, 0.500, 0.718)
Au (0.500, 0.500, 0.906)